Record 1
Compound: TaSb
Source: Alexandria via LeMat-Bulk
Functional: PBE
Structure: relaxed

Total moment (μB per atom): 0.000
Final energy (eV/f.u.): -15.16
DOS at the Fermi energy (states/eV per atom): 0.760
ΔE_f (raw) (meV/atom): 408

Cell: 3.1294 3.1294 4.5033 Å, 90.00 90.00 110.70°
Atoms (fractional coordinates):
1 Sb 0.0000 0.0000 0.0000
2 Ta 0.5000 0.5000 0.5000

=====

Record 2
Compound: Ta3Sb
Source: Alexandria via LeMat-Bulk
Functional: PBE
Structure: relaxed

Total moment (μB per atom): 0.000
Final energy (eV/f.u.): -39.33
DOS at the Fermi energy (states/eV per atom): 0.676
ΔE_f (raw) (meV/atom): 88

Cell: 3.0391 3.0391 8.8704 Å, 90.00 90.00 109.28°
Atoms (fractional coordinates):
1 Ta 0.0000 0.0000 0.5000
2 Sb 0.0000 0.0000 0.0000
3 Ta 0.5000 0.5000 0.2533
4 Ta 0.5000 0.5000 0.7467

=====

Record 3
Compound: TaSb
Source: Alexandria via LeMat-Bulk
Functional: PBE
Structure: relaxed

Total moment (μB per atom): 0.519
Final energy (eV/f.u.): -13.64
DOS at the Fermi energy (states/eV per atom): 1.855
ΔE_f (raw) (meV/atom): 1169

Cell: 6.3127 6.3127 6.3127 Å, 90.00 90.00 90.00°
Atoms (fractional coordinates):
1 Ta 0.5000 0.0000 0.5000
2 Ta 0.5000 0.5000 0.0000
3 Sb 0.2500 0.7500 0.7500
4 Ta 0.0000 0.0000 0.0000
5 Sb 0.7500 0.2500 0.7500
6 Ta 0.0000 0.5000 0.5000
7 Sb 0.2500 0.2500 0.2500
8 Sb 0.7500 0.7500 0.2500

=====

Record 4
Compound: TaSb3
Source: Alexandria via LeMat-Bulk
Functional: PBE
Structure: relaxed

Total moment (μB per atom): 0.000
Final energy (eV/f.u.): -22.42
DOS at the Fermi energy (states/eV per atom): 0.685
ΔE_f (raw) (meV/atom): 449

Cell: 5.1898 3.3577 5.7426 Å, 74.51 90.00 90.00°
Atoms (fractional coordinates):
1 Ta 0.5000 0.2500 0.2500
2 Sb 0.0000 0.3810 0.4825
3 Sb 0.0000 0.1190 0.0175
4 Sb 0.5000 0.7500 0.7500

=====

Record 5
Compound: TaSb2
Source: Alexandria via LeMat-Bulk
Functional: PBE
Structure: relaxed

Total moment (μB per atom): 0.000
Final energy (eV/f.u.): -20.54
DOS at the Fermi energy (states/eV per atom): 0.176
ΔE_f (raw) (meV/atom): -148

Cell: 5.4905 5.4905 8.3794 Å, 61.45 61.45 39.35°
Atoms (fractional coordinates):
1 Sb 0.5948 0.5948 0.6127
2 Ta 0.8495 0.8495 0.6882
3 Sb 0.8516 0.8516 0.0349
4 Ta 0.1505 0.1505 0.3118
5 Sb 0.4052 0.4052 0.3873
6 Sb 0.1484 0.1484 0.9651

=====

Record 6
Compound: TaSb2
Source: Alexandria via LeMat-Bulk
Functional: PBE
Structure: relaxed

Total moment (μB per atom): 0.000
Final energy (eV/f.u.): -19.80
DOS at the Fermi energy (states/eV per atom): 0.362
ΔE_f (raw) (meV/atom): 98

Cell: 3.2833 3.2833 8.4648 Å, 90.00 90.00 120.00°
Atoms (fractional coordinates):
1 Sb 0.6667 0.3333 0.2609
2 Ta 0.0000 0.0000 0.0000
3 Sb 0.3333 0.6667 0.7391

=====

Record 7
Compound: TaSb3
Source: Alexandria via LeMat-Bulk
Functional: PBE
Structure: relaxed

Total moment (μB per atom): 0.000
Final energy (eV/f.u.): -23.05
DOS at the Fermi energy (states/eV per atom): 1.286
ΔE_f (raw) (meV/atom): 292

Cell: 3.2902 3.2902 10.6976 Å, 90.00 90.00 120.00°
Atoms (fractional coordinates):
1 Sb 0.0000 0.0000 0.5431
2 Sb 0.0000 0.0000 0.9569
3 Sb 0.6667 0.3333 0.2500
4 Ta 0.6667 0.3333 0.7500

=====

Record 8
Compound: TaSb2
Source: Alexandria via LeMat-Bulk
Functional: PBE
Structure: relaxed

Total moment (μB per atom): 0.000
Final energy (eV/f.u.): -20.26
DOS at the Fermi energy (states/eV per atom): 0.739
ΔE_f (raw) (meV/atom): -56

Cell: 5.6129 5.6129 5.6129 Å, 105.80 105.80 117.09°
Atoms (fractional coordinates):
1 Sb 0.6520 0.8480 0.5000
2 Ta 0.2500 0.2500 0.0000
3 Sb 0.3480 0.1520 0.5000
4 Sb 0.8480 0.3480 0.1959
5 Sb 0.1520 0.6520 0.8041
6 Ta 0.7500 0.7500 0.0000

=====

Record 9
Compound: TaSb2
Source: Alexandria via LeMat-Bulk
Functional: PBE
Structure: relaxed

Total moment (μB per atom): 0.000
Final energy (eV/f.u.): -19.73
DOS at the Fermi energy (states/eV per atom): 0.658
ΔE_f (raw) (meV/atom): 122

Cell: 5.3923 5.3923 8.1696 Å, 82.83 82.83 38.49°
Atoms (fractional coordinates):
1 Ta 0.4469 0.4469 0.8369
2 Ta 0.5531 0.5531 0.1631
3 Sb 0.1337 0.1337 0.4119
4 Sb 0.8663 0.8663 0.5881
5 Sb 0.8435 0.8435 0.1088
6 Sb 0.1565 0.1565 0.8912

=====

Record 10
Compound: TaSb
Source: Alexandria via LeMat-Bulk
Functional: PBE
Structure: relaxed

Total moment (μB per atom): 0.000
Final energy (eV/f.u.): -15.34
DOS at the Fermi energy (states/eV per atom): 0.722
ΔE_f (raw) (meV/atom): 318

Cell: 5.5283 5.5283 5.5283 Å, 50.01 50.01 50.01°
Atoms (fractional coordinates):
1 Ta 0.6869 0.6869 0.6869
2 Ta 0.3131 0.3131 0.3131
3 Sb 0.1054 0.1054 0.1054
4 Sb 0.8946 0.8946 0.8946

=====

Record 11
Compound: Ta2Sb
Source: Alexandria via LeMat-Bulk
Functional: PBE
Structure: relaxed

Total moment (μB per atom): 0.000
Final energy (eV/f.u.): -27.08
DOS at the Fermi energy (states/eV per atom): 0.845
ΔE_f (raw) (meV/atom): 248

Cell: 4.8438 4.8438 5.6798 Å, 90.00 90.00 120.00°
Atoms (fractional coordinates):
1 Ta 0.3333 0.6667 0.7500
2 Sb 0.3333 0.6667 0.2500
3 Sb 0.6667 0.3333 0.7500
4 Ta 0.6667 0.3333 0.2500
5 Ta 0.0000 0.0000 0.0000
6 Ta 0.0000 0.0000 0.5000

=====

Record 12
Compound: Ta2Sb
Source: Alexandria via LeMat-Bulk
Functional: PBE
Structure: relaxed

Total moment (μB per atom): 0.000
Final energy (eV/f.u.): -27.09
DOS at the Fermi energy (states/eV per atom): 0.540
ΔE_f (raw) (meV/atom): 247

Cell: 4.8227 4.8227 2.9147 Å, 90.00 90.00 120.00°
Atoms (fractional coordinates):
1 Ta 0.3333 0.6667 0.2852
2 Sb 0.0000 0.0000 0.0000
3 Ta 0.6667 0.3333 0.7148